Cu2NiHgO | PBE with a Hubbard U | relaxed

Results
density of states at the Fermi level	0.826	states/eV/f.u.
total energy	-2.86	eV per atom

a b c (Å): 4.626 4.626 3.488
angles (deg): 90.00 90.00 90.00
Fractional positions:
1 Cu 0.000 0.500 0.000
2 Cu 0.500 0.000 0.000
3 Ni 0.000 0.000 0.000
4 Hg 0.500 0.500 0.500
5 O 0.000 0.000 0.500